Entry 1:
Computed, not measured: TiMnVN after structural relaxation at the PBE level of DFT.

```
data_TiMnVN
_chemical_formula_sum 'Ti2 Mn2 V2 N2'
_cell_length_a 4.865
_cell_length_b 3.195
_cell_length_c 7.066
_cell_angle_alpha 90.00
_cell_angle_beta 103.21
_cell_angle_gamma 90.00
_space_group_name_H-M_alt 'C 1 m 1'
_space_group_IT_number 8
_space_group_name_Hall 'C -2y'
loop_
_atom_site_label
_atom_site_type_symbol
_atom_site_fract_x
_atom_site_fract_y
_atom_site_fract_z
Ti1 Ti 0.000 0.000 0.000
Mn1 Mn 0.221 0.000 0.601
V1 V 0.130 0.500 0.351
N1 N 0.316 0.000 0.877
```

Results
density = 5.211 Mg/m³
raw formation energy = -0.324 eV/atom
DOS at the Fermi energy = 5.399 states/eV per cell
energy above the lowest structure with this stoichiometry = 0.602 eV/atom


Entry 2:
Computed, not measured: CsKTl2Bi after structural relaxation at the PBE level of DFT.

```
data_CsKTl2Bi
_chemical_formula_sum 'Cs2 K2 Tl4 Bi2'
_cell_length_a 5.018
_cell_length_b 6.074
_cell_length_c 14.322
_cell_angle_alpha 90.00
_cell_angle_beta 90.00
_cell_angle_gamma 90.00
_space_group_name_H-M_alt 'I m m 2'
_space_group_IT_number 44
_space_group_name_Hall 'I 2 -2'
loop_
_atom_site_label
_atom_site_type_symbol
_atom_site_fract_x
_atom_site_fract_y
_atom_site_fract_z
Cs1 Cs 0.000 0.000 0.000
K1 K 0.000 0.500 0.739
Tl1 Tl 0.000 0.000 0.408
Tl2 Tl 0.000 0.500 0.264
Bi1 Bi 0.000 0.000 0.620
```

Results
density = 6.009 Mg/m³
DOS at the Fermi energy = 6.202 states/eV per cell
energy of formation from the pure elements = -0.173 eV/atom


Entry 3:
Computed, not measured: CeDyTm2S4 after structural relaxation at the PBE level of DFT.

```
data_CeDyTm2S4
_chemical_formula_sum 'Ce1 Dy1 Tm2 S4'
_cell_length_a 6.751
_cell_length_b 3.875
_cell_length_c 6.804
_cell_angle_alpha 90.00
_cell_angle_beta 109.12
_cell_angle_gamma 90.00
_space_group_name_H-M_alt 'P 1 2/m 1'
_space_group_IT_number 10
_space_group_name_Hall '-P 2y'
loop_
_atom_site_label
_atom_site_type_symbol
_atom_site_fract_x
_atom_site_fract_y
_atom_site_fract_z
Ce1 Ce 0.000 0.000 0.000
Dy1 Dy 0.500 0.500 0.000
Tm1 Tm 0.000 0.500 0.500
Tm2 Tm 0.500 0.000 0.500
S1 S 0.251 0.000 0.740
S2 S 0.259 0.500 0.263
```

Results
density = 7.591 Mg/m³
raw formation energy = -1.982 eV/atom
DOS at the Fermi energy = 7.278 states/eV per cell


Entry 4:
Computed, not measured: CuO after structural relaxation at the PBE level of DFT.

```
data_CuO
_chemical_formula_sum 'Cu8 O8'
_cell_length_a 7.817
_cell_length_b 2.828
_cell_length_c 8.684
_cell_angle_alpha 90.00
_cell_angle_beta 90.00
_cell_angle_gamma 90.00
_space_group_name_H-M_alt 'P n m a'
_space_group_IT_number 62
_space_group_name_Hall '-P 2ac 2n'
loop_
_atom_site_label
_atom_site_type_symbol
_atom_site_fract_x
_atom_site_fract_y
_atom_site_fract_z
Cu1 Cu 0.017 0.250 0.160
Cu2 Cu 0.189 0.250 0.562
O1 O 0.057 0.750 0.641
O2 O 0.166 0.250 0.987
```

Results
density = 5.505 Mg/m³
raw formation energy = -0.483 eV/atom
DOS at the Fermi energy = 3.426 states/eV per cell


Entry 5:
Computed, not measured: Sm3Dy2YS6 after structural relaxation at the PBE level of DFT.

```
data_Sm3Dy2YS6
_chemical_formula_sum 'Sm6 Dy4 Y2 S12'
_cell_length_a 6.829
_cell_length_b 11.871
_cell_length_c 6.882
_cell_angle_alpha 90.00
_cell_angle_beta 109.37
_cell_angle_gamma 90.00
_space_group_name_H-M_alt 'C 1 2/m 1'
_space_group_IT_number 12
_space_group_name_Hall '-C 2y'
loop_
_atom_site_label
_atom_site_type_symbol
_atom_site_fract_x
_atom_site_fract_y
_atom_site_fract_z
Sm1 Sm 0.000 0.000 0.000
Sm2 Sm 0.000 0.334 0.000
Dy1 Dy 0.000 0.167 0.500
Y1 Y 0.000 0.500 0.500
S1 S 0.246 0.000 0.740
S2 S 0.247 0.333 0.740
```

Results
density = 6.671 Mg/m³
raw formation energy = -2.015 eV/atom
DOS at the Fermi energy = 10.392 states/eV per cell


Entry 6:
Computed, not measured: Tb6Pm2PrHo after structural relaxation at the PBE level of DFT.

```
data_Tb6Pm2PrHo
_chemical_formula_sum 'Tb24 Pm8 Pr4 Ho4'
_cell_length_a 9.105
_cell_length_b 15.143
_cell_length_c 9.722
_cell_angle_alpha 90.00
_cell_angle_beta 98.18
_cell_angle_gamma 90.00
_space_group_name_H-M_alt 'C 1 2/c 1'
_space_group_IT_number 15
_space_group_name_Hall '-C 2yc'
loop_
_atom_site_label
_atom_site_type_symbol
_atom_site_fract_x
_atom_site_fract_y
_atom_site_fract_z
Tb1 Tb 0.067 0.190 0.443
Tb2 Tb 0.099 0.393 0.619
Tb3 Tb 0.206 0.224 0.815
Pm1 Pm 0.248 0.051 0.044
Pr1 Pr 0.000 0.020 0.750
Ho1 Ho 0.000 0.408 0.250
```

Results
density = 7.756 Mg/m³
DOS at the Fermi energy = 57.158 states/eV per cell
energy of formation from the pure elements = 0.116 eV/atom


Entry 7:
Computed, not measured: KRh2Se after structural relaxation at the PBE level of DFT.

```
data_KRh2Se
_chemical_formula_sum 'K1 Rh2 Se1'
_cell_length_a 3.167
_cell_length_b 3.908
_cell_length_c 7.329
_cell_angle_alpha 90.00
_cell_angle_beta 101.59
_cell_angle_gamma 90.00
_space_group_name_H-M_alt 'P 1 2/m 1'
_space_group_IT_number 10
_space_group_name_Hall '-P 2y'
loop_
_atom_site_label
_atom_site_type_symbol
_atom_site_fract_x
_atom_site_fract_y
_atom_site_fract_z
K1 K 0.000 0.000 0.000
Rh1 Rh 0.333 0.500 0.658
Se1 Se 0.000 0.000 0.500
```

Results
density = 6.053 Mg/m³
raw formation energy = 0.296 eV/atom
DOS at the Fermi energy = 2.845 states/eV per cell


Entry 8:
Computed, not measured: CoRe2Tc after structural relaxation at the PBE level of DFT.

```
data_CoRe2Tc
_chemical_formula_sum 'Co2 Re4 Tc2'
_cell_length_a 3.822
_cell_length_b 3.822
_cell_length_c 7.548
_cell_angle_alpha 90.00
_cell_angle_beta 90.00
_cell_angle_gamma 90.00
_space_group_name_H-M_alt 'I 4/m m m'
_space_group_IT_number 139
_space_group_name_Hall '-I 4 2'
loop_
_atom_site_label
_atom_site_type_symbol
_atom_site_fract_x
_atom_site_fract_y
_atom_site_fract_z
Co1 Co 0.000 0.000 0.000
Re1 Re 0.000 0.500 0.250
Tc1 Tc 0.000 0.000 0.500
```

Results
density = 15.941 Mg/m³
DOS at the Fermi energy = 6.580 states/eV per cell
energy of formation from the pure elements = 0.031 eV/atom
energy above the lowest structure with this stoichiometry = 0.005 eV/atom


Entry 9:
Computed, not measured: RbSiCl2 after structural relaxation at the PBE level of DFT.

```
data_RbSiCl2
_chemical_formula_sum 'Rb4 Si4 Cl8'
_cell_length_a 7.565
_cell_length_b 7.565
_cell_length_c 7.565
_cell_angle_alpha 90.00
_cell_angle_beta 90.00
_cell_angle_gamma 90.00
_space_group_name_H-M_alt 'F m -3 m'
_space_group_IT_number 225
_space_group_name_Hall '-F 4 2 3'
loop_
_atom_site_label
_atom_site_type_symbol
_atom_site_fract_x
_atom_site_fract_y
_atom_site_fract_z
Rb1 Rb 0.000 0.000 0.000
Si1 Si 0.000 0.000 0.500
Cl1 Cl 0.250 0.250 0.250
```

Results
density = 2.830 Mg/m³
raw formation energy = -0.395 eV/atom
DOS at the Fermi energy = 14.415 states/eV per cell
energy above the lowest structure with this stoichiometry = 0.251 eV/atom


Entry 10:
Computed, not measured: ZrMoAs after structural relaxation at the PBE level of DFT.

```
data_ZrMoAs
_chemical_formula_sum 'Zr1 Mo1 As1'
_cell_length_a 4.3811
_cell_length_b 4.3811
_cell_length_c 3.3529
_cell_angle_alpha 90.00
_cell_angle_beta 90.00
_cell_angle_gamma 120.00
_space_group_name_H-M_alt 'P 3 m 1'
_space_group_IT_number 156
_space_group_name_Hall 'P 3 -2"'
loop_
_atom_site_label
_atom_site_type_symbol
_atom_site_fract_x
_atom_site_fract_y
_atom_site_fract_z
Zr1 Zr 0.0000 0.0000 0.0000
Mo1 Mo 0.3333 0.6667 0.4334
As1 As 0.6667 0.3333 0.4343
```

Results
density = 7.809 Mg/m³
DOS at the Fermi energy = 2.696 states/eV per cell
energy of formation from the pure elements = -0.191 eV/atom


Entry 11:
Computed, not measured: Tb7Te3C2 after structural relaxation at the PBE level of DFT.

```
data_Tb7Te3C2
_chemical_formula_sum 'Tb14 Te6 C4'
_cell_length_a 4.901
_cell_length_b 24.869
_cell_length_c 4.851
_cell_angle_alpha 90.00
_cell_angle_beta 90.00
_cell_angle_gamma 90.00
_space_group_name_H-M_alt 'C m m m'
_space_group_IT_number 65
_space_group_name_Hall '-C 2 2'
loop_
_atom_site_label
_atom_site_type_symbol
_atom_site_fract_x
_atom_site_fract_y
_atom_site_fract_z
Tb1 Tb 0.000 0.000 0.000
Tb2 Tb 0.000 0.094 0.500
Tb3 Tb 0.000 0.196 0.000
Tb4 Tb 0.000 0.406 0.000
Te1 Te 0.000 0.314 0.500
Te2 Te 0.000 0.500 0.500
C1 C 0.000 0.102 0.000
```

Results
density = 8.533 Mg/m³
raw formation energy = -0.629 eV/atom
DOS at the Fermi energy = 19.422 states/eV per cell


Entry 12:
Computed, not measured: KMnBe2 after structural relaxation at the PBE level of DFT.

```
data_KMnBe2
_chemical_formula_sum 'K2 Mn2 Be4'
_cell_length_a 6.834
_cell_length_b 3.945
_cell_length_c 6.475
_cell_angle_alpha 90.00
_cell_angle_beta 110.16
_cell_angle_gamma 90.00
_space_group_name_H-M_alt 'C 1 m 1'
_space_group_IT_number 8
_space_group_name_Hall 'C -2y'
loop_
_atom_site_label
_atom_site_type_symbol
_atom_site_fract_x
_atom_site_fract_y
_atom_site_fract_z
K1 K 0.000 0.000 0.000
Mn1 Mn 0.320 0.500 0.465
Be1 Be 0.005 0.500 0.522
Be2 Be 0.175 0.000 0.533
```

Results
density = 2.271 Mg/m³
DOS at the Fermi energy = 3.301 states/eV per cell
energy of formation from the pure elements = 0.457 eV/atom
energy above the lowest structure with this stoichiometry = 0.000 eV/atom


Question: Number 7 is which compound?
Answer: KRh2Se